The following is a DFT calculation (SCAN) of LaPtAu at its PBEsol-relaxed geometry.

Values from the calculation:
Density of states at the Fermi level: 0.94 states/eV per cell
Space group: F-43m, No. 216
Calculated formation energy: -1.02 eV/atom

Lattice parameters (Å, degrees): 4.710 4.710 4.710 60.00 60.00 60.00
Element x y z (fractional)
La: 0.000 0.000 0.000
Pt: 0.250 0.250 0.250
Au: 0.500 0.500 0.500